First-principles (PBE+U) data for V2CdSnO8 after structural relaxation, as listed in Alexandria.

Values from the calculation:
E: -6.57 eV/atom
DOS at the Fermi energy: 0.000 states/eV per cell

a = 5.7242 Å, b = 5.7242 Å, c = 6.2793 Å
α = 90.00°, β = 90.00°, γ = 120.00°
Space group P-3m1 (No. 164)
One atom of each set of equivalent atoms:
V: 0.3333 0.6667 0.2906
Cd: 0.0000 0.0000 0.5000
Sn: 0.0000 0.0000 0.0000
O: 0.1596 0.3191 0.2126
O: 0.3333 0.6667 0.5505